Entry 1:
DFT (PBE-GGA) results for a geometry-optimized ZrTcNi2 structure.

Results
Total magnetic moment: 0.03 μB per cell
Density of states at the Fermi level: 6.75 states/eV/cell
Formation enthalpy at 0 K: -0.067 eV per atom
Calculated total energy: -30.75 eV/cell
Offset from the most stable computed form: 196.8 meV/atom

Unit cell a=3.2676 b=3.2676 c=5.4644 alpha=90.00 beta=90.00 gamma=90.00
With the nearest neighbours (Å) after each atom.
Sites, in units of the cell vectors:
Ni 0.0000 0.0000 0.0224  1 Ni 2.49, 4 Tc 2.62, 4 Zr 2.75
Ni 0.0000 0.0000 0.4776  1 Ni 2.49, 4 Tc 2.62, 4 Zr 2.75
Tc 0.5000 0.5000 0.2500  8 Ni 2.62, 2 Zr 2.73
Zr 0.5000 0.5000 0.7500  2 Tc 2.73, 8 Ni 2.75


Entry 2:
DFT (PBE-GGA) results for a geometry-optimized InAgTe2 structure.

Results
Total magnetic moment: 0.00 μB per cell
Density of states at the Fermi level: 1.86 states/eV/cell
Formation energy (no corrections): 0.4 eV per formula unit
Calculated total energy: -11.48 eV/cell

Unit cell a=3.2449 b=3.2449 c=10.5395 alpha=90.00 beta=90.00 gamma=98.01
With the nearest neighbours (Å) after each atom.
Sites, in units of the cell vectors:
Te 0.0000 0.0000 0.9643  4 Te 3.24, 4 In 3.39-3.60
Te 0.5000 0.5000 0.3086  4 Ag 3.03-3.27, 4 Te 3.24
Ag 0.0000 0.0000 0.5138  4 In 2.99-3.23, 4 Te 3.03-3.27, 4 Ag 3.24
In 0.5000 0.5000 0.7133  4 Ag 2.99-3.23, 4 In 3.24


Entry 3:
DFT (PBE-GGA) results for a geometry-optimized LaMgFe2C structure.

Results
Total magnetic moment: 0.00 μB per cell
Density of states at the Fermi level: 3.10 states/eV/cell
Formation enthalpy at 0 K: 0.408 eV per atom
Calculated total energy: -30.63 eV/cell
Offset from the most stable computed form: 0.0 meV/atom

Unit cell a=4.0993 b=4.2749 c=4.0993 alpha=90.00 beta=90.00 gamma=90.00
With the nearest neighbours (Å) after each atom.
Sites, in units of the cell vectors:
C 0.0000 0.0000 0.0000  4 Fe 2.05, 2 Mg 2.14
Mg 0.0000 0.5000 0.0000  2 C 2.14
Fe 0.0000 0.0000 0.5000  2 C 2.05
Fe 0.5000 0.0000 0.0000  2 C 2.05
La 0.5000 0.5000 0.5000  4 Mg 2.90, 8 Fe 2.96


Entry 4:
DFT (PBE-GGA) results for a geometry-optimized BaLa structure.

Results
Total magnetic moment: 7.50 μB per cell
Density of states at the Fermi level: 31.00 states/eV/cell
Formation enthalpy at 0 K: 0.877 eV per atom
Calculated total energy: -40.76 eV/cell
Offset from the most stable computed form: 780.1 meV/atom

Unit cell a=11.3028 b=11.3028 c=11.3028 alpha=90.00 beta=90.00 gamma=90.00
With the nearest neighbours (Å) after each atom.
Sites, in units of the cell vectors:
Ba 0.2091 0.2091 0.2091  4 La 3.79-3.90
Ba 0.2091 0.7909 0.7909  4 La 3.79-3.90
Ba 0.7909 0.2091 0.7909  4 La 3.79-3.90
Ba 0.7909 0.7909 0.2091  4 La 3.79-3.90
Ba 0.7091 0.7091 0.7091  4 La 3.79-3.90
Ba 0.7091 0.2909 0.2909  4 La 3.79-3.90
Ba 0.2909 0.7091 0.2909  4 La 3.79-3.90
Ba 0.2909 0.2909 0.7091  4 La 3.79-3.90
La 0.4025 0.4025 0.4025  3 La 3.12
La 0.4025 0.5975 0.5975  3 La 3.12
La 0.5975 0.4025 0.5975  3 La 3.12
La 0.5975 0.5975 0.4025  3 La 3.12
La 0.9025 0.9025 0.9025  3 La 3.12
La 0.9025 0.0975 0.0975  3 La 3.12
La 0.0975 0.9025 0.0975  3 La 3.12
La 0.0975 0.0975 0.9025  3 La 3.12


Entry 5:
DFT (PBE-GGA) results for a geometry-optimized CaMn2Os structure.

Results
Total magnetic moment: 5.13 μB per cell
Density of states at the Fermi level: 3.28 states/eV/cell
Formation enthalpy at 0 K: 0.320 eV per atom
Calculated total energy: -30.29 eV/cell
Offset from the most stable computed form: 0.0 meV/atom

Unit cell a=4.1837 b=4.1837 c=5.6762 alpha=68.42 beta=68.42 gamma=59.99
With the nearest neighbours (Å) after each atom.
Sites, in units of the cell vectors:
Ca 0.2500 0.2500 0.2500  8 Mn 3.07-3.18
Mn 0.0508 0.0508 0.8476  3 Os 2.47, 3 Mn 2.61-2.62
Mn 0.4492 0.4492 0.6524  3 Os 2.47, 3 Mn 2.61-2.62
Os 0.7500 0.7500 0.7500  6 Mn 2.47


Entry 6:
DFT (PBE-GGA) results for a geometry-optimized CrSbCl3 structure.

Results
Total magnetic moment: 5.45 μB per cell
Density of states at the Fermi level: 4.83 states/eV/cell
Formation energy (no corrections): 0.2 eV per formula unit
Calculated total energy: -19.07 eV/cell
Offset from the most stable computed form: 0.0 meV/atom

Unit cell a=5.3986 b=5.3986 c=5.3986 alpha=90.00 beta=90.00 gamma=90.00
With the nearest neighbours (Å) after each atom.
Sites, in units of the cell vectors:
Sb 0.0000 0.0000 0.0000  6 Cl 2.70
Cl 0.0000 0.5000 0.0000  2 Sb 2.70
Cl 0.0000 0.0000 0.5000  2 Sb 2.70
Cl 0.5000 0.0000 0.0000  2 Sb 2.70
Cr 0.5000 0.5000 0.5000  12 Cl 3.82


> Among the records above, which one has the highest total magnetic moment?

BaLa